Entry 1:
# Ho2Ag2O5

A geometry-optimized Ho2Ag2O5 structure (PBE, the Open Quantum Materials Database).

The calculation puts the total energy at -6.034 eV per atom.

The structure belongs to space group P4/mmm (No. 123); the cell edges are 4.034, 4.034 and 8.550 Å and the angles 90.00°, 90.00° and 90.00°. The inequivalent atoms are Ho at (0.000, 0.000, 0.248), Ag at (0.500, 0.500, 0.000), Ag at (0.500, 0.500, 0.500), O at (0.000, 0.000, 0.500) and O at (0.000, 0.500, 0.158).

---

Entry 2:
# Ho3AgO6

A geometry-optimized Ho3AgO6 structure (PBE, the Open Quantum Materials Database).

The calculation puts the total energy at -7.346 eV per atom.

The structure belongs to space group P-1 (No. 2); the cell edges are 3.542, 5.518 and 6.979 Å and the angles 90.00°, 76.85° and 88.77°. The inequivalent atoms are Ho at (0.000, 0.000, 0.000), Ho at (0.384, 0.531, 0.265), Ag at (0.000, 0.000, 0.500), O at (0.134, 0.203, 0.714), O at (0.169, 0.683, 0.609) and O at (0.478, 0.256, 0.029).

---

Entry 3:
# HoAgSO

A geometry-optimized HoAgSO structure (PBE, the Open Quantum Materials Database).

The calculation puts the total energy at -5.934 eV per atom.

The structure belongs to space group P2_1/c (No. 14); the cell edges are 6.329, 7.266 and 6.357 Å and the angles 90.00°, 99.86° and 90.00°. The inequivalent atoms are Ho at (0.047, 0.126, 0.230), Ag at (0.459, 0.707, 0.527), S at (0.294, 0.076, 0.645) and O at (0.103, 0.655, 0.602).

---

Entry 4:
# HoAgSO

A geometry-optimized HoAgSO structure (PBE, the Open Quantum Materials Database).

The calculation puts the total energy at -6.059 eV per atom.

The structure belongs to space group P2_1 (No. 4); the cell edges are 5.618, 5.618 and 10.768 Å and the angles 90.00°, 91.71° and 90.00°. The inequivalent atoms are Ho at (0.004, 0.000, 0.098), Ho at (0.495, 0.001, 0.901), Ag at (0.188, 0.273, 0.497), Ag at (0.499, 0.018, 0.296), S at (0.201, 0.310, 0.279), S at (0.204, 0.226, 0.716), O at (0.250, 0.750, 0.000) and O at (0.253, 0.249, 0.999).

---

Entry 5:
# HoAgSO

A geometry-optimized HoAgSO structure (PBE, the Open Quantum Materials Database).

The calculation puts the total energy at -5.767 eV per atom.

The structure belongs to space group Pmc2_1 (No. 26); the cell edges are 4.186, 6.493 and 6.302 Å and the angles 90.00°, 90.00° and 90.00°. The inequivalent atoms are Ho at (0.000, 0.166, 0.000), Ag at (0.500, 0.276, 0.563), S at (0.500, 0.345, 0.170) and O at (0.000, 0.112, 0.669).

---

Entry 6:
# HoAgSO

A geometry-optimized HoAgSO structure (PBE, the Open Quantum Materials Database).

The calculation puts the total energy at -5.595 eV per atom.

The structure belongs to space group Pca2_1 (No. 29); the cell edges are 7.617, 7.876 and 5.474 Å and the angles 90.00°, 90.00° and 90.00°. The inequivalent atoms are Ho at (0.050, 0.181, 0.000), Ag at (0.128, 0.613, 0.989), S at (0.092, 0.136, 0.500) and O at (0.081, 0.600, 0.501).

---

Entry 7:
# HoScAg2O4

A geometry-optimized HoScAg2O4 structure (PBE, the Open Quantum Materials Database).

The calculation puts the total energy at -6.800 eV per atom.

The structure belongs to space group P-3m1 (No. 164); the cell edges are 3.3195, 3.3195 and 12.5061 Å and the angles 90.00°, 90.00° and 120.00°. The inequivalent atoms are Ho at (0.0000, 0.0000, 0.0000), Sc at (0.0000, 0.0000, 0.5000), Ag at (0.3333, 0.6667, 0.7442), O at (0.3333, 0.6667, 0.5782) and O at (0.3333, 0.6667, 0.9103).

---

Entry 8:
# HoAgSeO

A geometry-optimized HoAgSeO structure (PBE, the Open Quantum Materials Database).

The calculation puts the total energy at -5.662 eV per atom.

The structure belongs to space group P2_1/c (No. 14); the cell edges are 6.987, 6.482 and 6.245 Å and the angles 90.00°, 95.12° and 90.00°. The inequivalent atoms are Ho at (0.091, 0.049, 0.255), Ag at (0.415, 0.709, 0.501), Se at (0.316, 0.071, 0.695) and O at (0.039, 0.721, 0.524).

---

Entry 9:
# HoAgSeO

A geometry-optimized HoAgSeO structure (PBE, the Open Quantum Materials Database).

The calculation puts the total energy at -5.850 eV per atom.

The structure belongs to space group P2_1 (No. 4); the cell edges are 5.704, 5.704 and 11.144 Å and the angles 90.00°, 92.13° and 90.00°. The inequivalent atoms are Ho at (0.005, 0.000, 0.092), Ho at (0.494, 0.000, 0.907), Ag at (0.189, 0.275, 0.496), Ag at (0.499, 0.020, 0.288), Se at (0.192, 0.323, 0.275), Se at (0.196, 0.218, 0.717), O at (0.250, 0.749, 0.000) and O at (0.252, 0.248, 0.999).

---

Entry 10:
# HoAgSeO

A geometry-optimized HoAgSeO structure (PBE, the Open Quantum Materials Database).

The calculation puts the total energy at -5.551 eV per atom.

The structure belongs to space group Pmc2_1 (No. 26); the cell edges are 4.288, 6.616 and 6.436 Å and the angles 90.00°, 90.00° and 90.00°. The inequivalent atoms are Ho at (0.000, 0.155, 0.000), Ag at (0.500, 0.263, 0.585), Se at (0.500, 0.346, 0.184) and O at (0.000, 0.110, 0.676).

---

Entry 11:
# HoAgSnO3

A geometry-optimized HoAgSnO3 structure (PBE, the Open Quantum Materials Database).

The calculation puts the total energy at -6.296 eV per atom.

The structure belongs to space group Cmcm (No. 63); the cell edges are 3.485, 13.273 and 8.345 Å and the angles 90.00°, 90.00° and 90.00°. The inequivalent atoms are Ho at (0.000, 0.000, 0.000), Ag at (0.000, 0.330, 0.250), Sn at (0.000, 0.336, 0.750), O at (0.000, 0.063, 0.250) and O at (0.000, 0.392, 0.002).

---

Entry 12:
# SrHoAgO3

A geometry-optimized SrHoAgO3 structure (PBE, the Open Quantum Materials Database).

The calculation puts the total energy at -6.302 eV per atom.

The structure belongs to space group Cmcm (No. 63); the cell edges are 3.601, 12.702 and 8.713 Å and the angles 90.00°, 90.00° and 90.00°. The inequivalent atoms are Sr at (0.000, 0.178, 0.250), Ho at (0.000, 0.500, 0.000), Ag at (0.000, 0.116, 0.750), O at (0.000, 0.114, 0.515) and O at (0.000, 0.447, 0.750).

---

Entry 13:
# HoAgTeO

A geometry-optimized HoAgTeO structure (PBE, the Open Quantum Materials Database).

The calculation puts the total energy at -5.317 eV per atom.

The structure belongs to space group Pmc2_1 (No. 26); the cell edges are 4.434, 6.597 and 6.804 Å and the angles 90.00°, 90.00° and 90.00°. The inequivalent atoms are Ho at (0.000, 0.134, 0.000), Ag at (0.500, 0.251, 0.618), Te at (0.500, 0.337, 0.220) and O at (0.000, 0.114, 0.691).

---

Entry 14:
# HoAgTeO

A geometry-optimized HoAgTeO structure (PBE, the Open Quantum Materials Database).

The calculation puts the total energy at -5.484 eV per atom.

The structure belongs to space group P2_1/c (No. 14); the cell edges are 7.765, 6.349 and 6.211 Å and the angles 90.00°, 92.12° and 90.00°. The inequivalent atoms are Ho at (0.089, 0.003, 0.253), Ag at (0.416, 0.713, 0.506), Te at (0.309, 0.074, 0.708) and O at (0.023, 0.739, 0.501).

---

Entry 15:
# HoTmAg2O4

A geometry-optimized HoTmAg2O4 structure (PBE, the Open Quantum Materials Database).

The calculation puts the total energy at -6.632 eV per atom.

The structure belongs to space group P-3m1 (No. 164); the cell edges are 3.4323, 3.4323 and 12.5050 Å and the angles 90.00°, 90.00° and 120.00°. The inequivalent atoms are Ho at (0.0000, 0.0000, 0.0000), Tm at (0.0000, 0.0000, 0.5000), Ag at (0.3333, 0.6667, 0.7489), O at (0.3333, 0.6667, 0.5831) and O at (0.3333, 0.6667, 0.9146).

---

Entry 16:
# YHoAg2O4

A geometry-optimized YHoAg2O4 structure (PBE, the Open Quantum Materials Database).

The calculation puts the total energy at -6.845 eV per atom.

The structure belongs to space group P-3m1 (No. 164); the cell edges are 3.4809, 3.4809 and 12.4895 Å and the angles 90.00°, 90.00° and 120.00°. The inequivalent atoms are Y at (0.0000, 0.0000, 0.0000), Ho at (0.0000, 0.0000, 0.5000), Ag at (0.3333, 0.6667, 0.2508), O at (0.3333, 0.6667, 0.0850) and O at (0.3333, 0.6667, 0.4167).

---

Entry 17:
# HoAgOs

A geometry-optimized HoAgOs structure (PBE, the Open Quantum Materials Database).

The calculation puts the total energy at -5.279 eV per atom.

The structure belongs to space group F-43m (No. 216); the cell edges are 6.506, 6.506 and 6.506 Å and the angles 90.00°, 90.00° and 90.00°. The inequivalent atoms are Ho at (0.000, 0.000, 0.000), Ag at (0.250, 0.250, 0.750) and Os at (0.250, 0.250, 0.250).

---

Entry 18:
# Ho2AgOs

A geometry-optimized Ho2AgOs structure (PBE, the Open Quantum Materials Database).

The calculation puts the total energy at -6.150 eV per atom.

The structure belongs to space group P4/mmm (No. 123); the cell edges are 3.390, 3.390 and 7.546 Å and the angles 90.00°, 90.00° and 90.00°. The inequivalent atoms are Ho at (0.000, 0.000, 0.220), Ag at (0.500, 0.500, 0.500) and Os at (0.500, 0.500, 0.000).

---

Entry 19:
# HoAgOs

A geometry-optimized HoAgOs structure (PBE, the Open Quantum Materials Database).

The calculation puts the total energy at -5.623 eV per atom.

The structure belongs to space group F-43m (No. 216); the cell edges are 6.475, 6.475 and 6.475 Å and the angles 90.00°, 90.00° and 90.00°. The inequivalent atoms are Ho at (0.000, 0.000, 0.000), Ag at (0.000, 0.000, 0.500) and Os at (0.250, 0.250, 0.750).

---

Entry 20:
# YHoAg2P4

A geometry-optimized YHoAg2P4 structure (PBE, the Open Quantum Materials Database).

The calculation puts the total energy at -5.495 eV per atom.

The structure belongs to space group P4mm (No. 99); the cell edges are 3.841, 3.841 and 10.166 Å and the angles 90.00°, 90.00° and 90.00°. The inequivalent atoms are Y at (0.000, 0.000, 0.000), Ho at (0.500, 0.500, 0.440), Ag at (0.000, 0.500, 0.719), P at (0.000, 0.000, 0.532), P at (0.000, 0.500, 0.221) and P at (0.500, 0.500, 0.906).